[1]
The following is a DFT calculation (PBE-GGA) of a relaxed structure of Eu2MgSi2O7.

Results
raw formation energy = -35.24 eV per formula unit

Cell: 8.076 8.076 5.206 Å, 90.00 90.00 90.00°
Space group P-42_1m (No. 113)
Unique sites:
Eu (0.166, 0.334, 0.008) x4
Mg (0.000, 0.000, 0.500) x2
Si (0.139, 0.639, 0.556) x4
O (0.000, 0.500, 0.663) x2
O (0.080, 0.811, 0.700) x8
O (0.141, 0.641, 0.245) x4



[2]
The following is a DFT calculation (PBE-GGA) of a relaxed structure of EuMgP2.

Results
DFT formation energy = -0.6133 eV per atom

Cell: 4.2574 4.2574 16.4426 Å, 90.00 90.00 120.00°
Space group R-3m (No. 166, hexagonal axes)
Unique sites:
Eu (0.0000, 0.0000, 0.0000) x3
Mg (0.0000, 0.0000, 0.5000) x3
P (0.0000, 0.0000, 0.2391) x6



[3]
The following is a DFT calculation (PBE-GGA) of a relaxed structure of Eu3MgP.

Results
DFT formation energy = -0.4678 eV per atom

Cell: 5.699 5.699 5.699 Å, 90.00 90.00 90.00°
Space group Pm-3m (No. 221)
Unique sites:
Eu (0.000, 0.000, 0.500) x3
Mg (0.500, 0.500, 0.500) x1
P (0.000, 0.000, 0.000) x1



[4]
The following is a DFT calculation (PBE-GGA) of a relaxed structure of EuMg2P2.

Results
DFT formation energy = -0.9822 eV per atom

Cell: 4.2828 4.2828 7.0600 Å, 90.00 90.00 120.00°
Space group P-3m1 (No. 164)
Unique sites:
Eu (0.0000, 0.0000, 0.0000) x1
Mg (0.3333, 0.6667, 0.6329) x2
P (0.3333, 0.6667, 0.2568) x2



| no. | total energy (eV for the cell shown) | size of the total moment (μB per cell) |
| --- | --- | --- |
| 1 | -205.88 | 28.0 |
| 2 | -75.43 | 18.8 |
| 3 | -40.17 | 22.6 |
| 4 | -29.19 | 7.0 |